No. 1
HoGa2Ni2 after structural relaxation, computed with PBE-GGA.

Output
Calculated volume = 164.0 Å³ per cell
Size of the total moment = 0.00 Bohr magnetons per cell
Formation energy from the elements = -263 kJ/mol of formula units

Cell lengths 4.0398, 4.0398, 10.0461 Å; angles 90.00, 90.00, 89.99 degrees
Closest atoms and distances in Å follow each position.
Sites, in units of the cell vectors:
Ga (0.7499, 0.7499, 0.6236)  4 Ni 2.37, 1 Ga 2.54
Ho (0.2499, 0.2499, 0.7500)  8 Ga 3.13, 8 Ni 3.22
Ga (0.2501, 0.2501, 0.1236)  4 Ni 2.37, 1 Ga 2.54
Ni (0.7501, 0.2499, 0.0000)  4 Ga 2.37
Ho (0.7501, 0.7501, 0.2500)  8 Ga 3.13, 8 Ni 3.22
Ga (0.7499, 0.7499, 0.8764)  4 Ni 2.37, 1 Ga 2.54
Ga (0.2501, 0.2501, 0.3764)  4 Ni 2.37, 1 Ga 2.54
Ni (0.2499, 0.7501, 0.5000)  4 Ga 2.37
Ni (0.7501, 0.2499, 0.5000)  4 Ga 2.37
Ni (0.2499, 0.7501, 0.0000)  4 Ga 2.37

No. 2
Ho3Ga2Ni9 after structural relaxation, computed with PBE-GGA.

Output
Calculated volume = 209.0 Å³ per cell
Size of the total moment = 0.00 Bohr magnetons per cell
Formation energy from the elements = -534 kJ/mol of formula units

Cell lengths 3.9799, 7.7171, 7.7171 Å; angles 68.13, 75.06, 75.06 degrees
Closest atoms and distances in Å follow each position.
Sites, in units of the cell vectors:
Ga (0.5000, 0.2870, 0.7130)  8 Ni 2.46-2.71
Ni (0.3203, 0.3273, 0.0320)  4 Ni 2.40-2.55, 1 Ga 2.49
Ni (0.3203, 0.0320, 0.3273)  4 Ni 2.40-2.55, 1 Ga 2.49
Ho (0.0000, 0.0000, 0.0000)  4 Ni 2.80
Ni (0.8808, 0.8425, 0.3959)  4 Ni 2.40-2.53, 2 Ga 2.46
Ni (0.1192, 0.6041, 0.1575)  4 Ni 2.40-2.53, 2 Ga 2.46
Ni (0.1192, 0.1575, 0.6041)  4 Ni 2.40-2.53, 2 Ga 2.46
Ni (0.0000, 0.5000, 0.5000)  4 Ni 2.41
Ho (0.3023, 0.6977, 0.6977)  12 Ni 2.79-3.12, 2 Ga 3.03
Ho (0.6977, 0.3023, 0.3023)  12 Ni 2.79-3.12, 2 Ga 3.03
Ga (0.5000, 0.7130, 0.2870)  8 Ni 2.46-2.71
Ni (0.6797, 0.6727, 0.9680)  4 Ni 2.40-2.55, 1 Ga 2.49
Ni (0.8808, 0.3959, 0.8425)  4 Ni 2.40-2.53, 2 Ga 2.46
Ni (0.6797, 0.9680, 0.6727)  4 Ni 2.40-2.55, 1 Ga 2.49

No. 3
HoGaNi after structural relaxation, computed with PBE-GGA.

Output
Calculated volume = 59.6 Å³ per cell
Size of the total moment = 0.00 Bohr magnetons per cell
Formation energy from the elements = -125 kJ/mol of formula units

Cell lengths 4.3844, 4.3844, 4.3844 Å; angles 60.00, 60.00, 60.00 degrees
Closest atoms and distances in Å follow each position.
Sites, in units of the cell vectors:
Ni (0.2500, 0.2500, 0.2500)  4 Ho 2.68, 4 Ga 2.68
Ga (0.0000, 0.0000, 0.0000)  4 Ni 2.68
Ho (0.5000, 0.5000, 0.5000)  4 Ni 2.68

No. 4
Ho2Ga6Ni3 after structural relaxation, computed with PBE-GGA.

Output
Calculated volume = 190.6 Å³ per cell
Size of the total moment = 0.00 Bohr magnetons per cell
Formation energy from the elements = -540 kJ/mol of formula units

Cell lengths 4.0362, 7.3847, 7.3847 Å; angles 120.00, 90.00, 90.00 degrees
Closest atoms and distances in Å follow each position.
Sites, in units of the cell vectors:
Ni (0.5000, 0.0000, 0.6310)  5 Ga 2.36-2.53
Ho (0.0000, 0.3333, 0.6667)  9 Ga 3.05-3.26, 6 Ni 3.09
Ga (0.5000, 0.3080, 0.0000)  3 Ni 2.38-2.53
Ho (0.0000, 0.6667, 0.3333)  9 Ga 3.05-3.26, 6 Ni 3.09
Ga (0.0000, 0.7963, 0.0000)  2 Ni 2.36, 2 Ga 2.61
Ga (0.0000, 0.0000, 0.7963)  2 Ni 2.36, 2 Ga 2.61
Ga (0.5000, 0.6920, 0.6920)  3 Ni 2.38-2.53
Ga (0.0000, 0.2037, 0.2037)  2 Ni 2.36, 2 Ga 2.61
Ga (0.5000, 0.0000, 0.3080)  3 Ni 2.38-2.53
Ni (0.5000, 0.3690, 0.3690)  5 Ga 2.36-2.53
Ni (0.5000, 0.6310, 0.0000)  5 Ga 2.36-2.53

No. 5
HoGa3Ni after structural relaxation, computed with PBE-GGA.

Output
Calculated volume = 88.3 Å³ per cell
Size of the total moment = 0.00 Bohr magnetons per cell
Formation energy from the elements = -249 kJ/mol of formula units
Excess energy over the best structure of this formula in the dataset = 0.0592 eV/atom

Cell lengths 4.0694, 4.0694, 5.3322 Å; angles 90.00, 90.00, 90.00 degrees
Closest atoms and distances in Å follow each position.
Sites, in units of the cell vectors:
Ni (0.0000, 0.0000, 0.0884)  5 Ga 2.32-2.41
Ho (0.5000, 0.5000, 0.8597)  8 Ga 3.08-3.23, 4 Ni 3.13
Ga (0.0000, 0.5000, 0.3311)  2 Ni 2.41, 2 Ga 2.66
Ga (0.0000, 0.0000, 0.6534)  1 Ni 2.32
Ga (0.5000, 0.0000, 0.3311)  2 Ni 2.41, 2 Ga 2.66

No. 6
Ho4Ga12Ni after structural relaxation, computed with PBE-GGA.

Output
Calculated volume = 313.3 Å³ per cell
Size of the total moment = 0.00 Bohr magnetons per cell
Formation energy from the elements = -929 kJ/mol of formula units

Cell lengths 7.4105, 7.4105, 7.4105 Å; angles 109.47, 109.47, 109.47 degrees
Closest atoms and distances in Å follow each position.
Sites, in units of the cell vectors:
Ga (0.2500, 0.5000, 0.7500)  8 Ga 2.81-3.03, 4 Ho 3.03
Ga (0.5000, 0.2500, 0.7500)  8 Ga 2.81-3.03, 4 Ho 3.03
Ga (0.7500, 0.2500, 0.5000)  8 Ga 2.81-3.03, 4 Ho 3.03
Ga (0.0000, 0.7130, 0.7130)  1 Ni 2.46
Ga (0.7130, 0.0000, 0.7130)  1 Ni 2.46
Ga (0.2500, 0.7500, 0.5000)  8 Ga 2.81-3.03, 4 Ho 3.03
Ga (0.7500, 0.5000, 0.2500)  8 Ga 2.81-3.03, 4 Ho 3.03
Ga (0.2870, 0.0000, 0.2870)  1 Ni 2.46
Ga (0.0000, 0.2870, 0.2870)  1 Ni 2.46
Ga (0.5000, 0.7500, 0.2500)  8 Ga 2.81-3.03, 4 Ho 3.03
Ho (0.0000, 0.0000, 0.5000)  12 Ga 3.03-3.04
Ho (0.5000, 0.0000, 0.0000)  12 Ga 3.03-3.04
Ho (0.0000, 0.5000, 0.0000)  12 Ga 3.03-3.04
Ho (0.5000, 0.5000, 0.5000)  12 Ga 3.03-3.04
Ga (0.2870, 0.2870, 0.0000)  1 Ni 2.46
Ni (0.0000, 0.0000, 0.0000)  6 Ga 2.46
Ga (0.7130, 0.7130, 0.0000)  1 Ni 2.46

No. 7
Ho2Ga3Ni4 after structural relaxation, computed with PBE-GGA.

Output
Calculated volume = 283.0 Å³ per cell
Size of the total moment = 0.00 Bohr magnetons per cell
Formation energy from the elements = -485 kJ/mol of formula units

Cell lengths 5.3609, 7.0693, 7.9337 Å; angles 90.00, 109.75, 90.00 degrees
Closest atoms and distances in Å follow each position.
Sites, in units of the cell vectors:
Ni (0.6730, 0.5123, 0.3461)  5 Ga 2.46-2.59
Ga (0.5000, 0.5000, 0.0000)  6 Ni 2.45-2.59
Ga (0.4839, 0.2500, 0.4678)  5 Ni 2.46-2.56, 2 Ga 2.68
Ga (0.9839, 0.2500, 0.4678)  5 Ni 2.46-2.56, 2 Ga 2.68
Ni (0.1810, 0.7500, 0.8621)  3 Ga 2.45-2.46, 2 Ni 2.68
Ga (0.0000, 0.0000, 0.0000)  6 Ni 2.45-2.59
Ho (0.8942, 0.4134, 0.7885)  5 Ni 2.79-3.01, 2 Ga 2.98
Ho (0.6058, 0.9134, 0.2115)  5 Ni 2.79-3.01, 2 Ga 2.98
Ni (0.1730, 0.9877, 0.3461)  5 Ga 2.46-2.59
Ho (0.1058, 0.5866, 0.2115)  5 Ni 2.79-3.01, 2 Ga 2.98
Ni (0.6810, 0.7500, 0.8621)  3 Ga 2.45-2.46, 2 Ni 2.68
Ni (0.8190, 0.2500, 0.1379)  3 Ga 2.45-2.46, 2 Ni 2.68
Ga (0.0161, 0.7500, 0.5322)  5 Ni 2.46-2.56, 2 Ga 2.68
Ni (0.3190, 0.2500, 0.1379)  3 Ga 2.45-2.46, 2 Ni 2.68
Ni (0.8270, 0.0123, 0.6539)  5 Ga 2.46-2.59
Ho (0.3942, 0.0866, 0.7885)  5 Ni 2.79-3.01, 2 Ga 2.98
Ni (0.3270, 0.4877, 0.6539)  5 Ga 2.46-2.59
Ga (0.5161, 0.7500, 0.5322)  5 Ni 2.46-2.56, 2 Ga 2.68

No. 8
HoGa4Ni2 after structural relaxation, computed with PBE-GGA.

Output
Calculated volume = 444.7 Å³ per cell
Size of the total moment = 0.00 Bohr magnetons per cell
Formation energy from the elements = -360 kJ/mol of formula units
Excess energy over the best structure of this formula in the dataset = 0.0000 eV/atom

Cell lengths 4.1483, 6.3804, 16.8031 Å; angles 90.00, 90.00, 90.00 degrees
Closest atoms and distances in Å follow each position.
Sites, in units of the cell vectors:
Ho (0.2500, 0.0146, 0.3600)  9 Ga 2.92-3.19, 4 Ni 3.07-3.19
Ga (0.2500, 0.8218, 0.1848)  4 Ni 2.50-2.51, 1 Ga 2.59
Ga (0.7500, 0.3218, 0.3152)  4 Ni 2.50-2.51, 1 Ga 2.59
Ni (0.7500, 0.2452, 0.4620)  7 Ga 2.46-2.69
Ni (0.7500, 0.2548, 0.9620)  7 Ga 2.46-2.69
Ni (0.7500, 0.0285, 0.2162)  7 Ga 2.43-2.51
Ga (0.2500, 0.1598, 0.5338)  3 Ni 2.46-2.58
Ga (0.7500, 0.1782, 0.8152)  4 Ni 2.50-2.51, 1 Ga 2.59
Ga (0.2500, 0.4977, 0.4282)  4 Ni 2.43-2.69
Ga (0.2500, 0.2728, 0.6946)  3 Ni 2.44-2.46, 1 Ga 2.59
Ga (0.7500, 0.7272, 0.3054)  3 Ni 2.44-2.46, 1 Ga 2.59
Ni (0.2500, 0.7548, 0.5380)  7 Ga 2.46-2.69
Ga (0.7500, 0.8402, 0.4662)  3 Ni 2.46-2.58
Ga (0.2500, 0.6782, 0.6848)  4 Ni 2.50-2.51, 1 Ga 2.59
Ni (0.7500, 0.4715, 0.7162)  7 Ga 2.43-2.51
Ni (0.2500, 0.9715, 0.7838)  7 Ga 2.43-2.51
Ga (0.7500, 0.7728, 0.8054)  3 Ni 2.44-2.46, 1 Ga 2.59
Ga (0.2500, 0.2272, 0.1946)  3 Ni 2.44-2.46, 1 Ga 2.59
Ho (0.7500, 0.9854, 0.6400)  9 Ga 2.92-3.19, 4 Ni 3.07-3.19
Ga (0.2500, 0.0023, 0.9282)  4 Ni 2.43-2.69
Ga (0.7500, 0.6598, 0.9662)  3 Ni 2.46-2.58
Ga (0.2500, 0.3402, 0.0338)  3 Ni 2.46-2.58
Ho (0.7500, 0.5146, 0.1400)  9 Ga 2.92-3.19, 4 Ni 3.07-3.19
Ni (0.2500, 0.5285, 0.2838)  7 Ga 2.43-2.51
Ni (0.2500, 0.7452, 0.0380)  7 Ga 2.46-2.69
Ho (0.2500, 0.4854, 0.8600)  9 Ga 2.92-3.19, 4 Ni 3.07-3.19
Ga (0.7500, 0.5023, 0.5718)  4 Ni 2.43-2.69
Ga (0.7500, 0.9977, 0.0718)  4 Ni 2.43-2.69

No. 9
HoGaNi after structural relaxation, computed with PBE-GGA.

Output
Calculated volume = 214.1 Å³ per cell
Size of the total moment = 0.00 Bohr magnetons per cell
Formation energy from the elements = -188 kJ/mol of formula units

Cell lengths 4.2795, 6.8192, 7.3369 Å; angles 90.00, 90.00, 90.00 degrees
Closest atoms and distances in Å follow each position.
Sites, in units of the cell vectors:
Ga (0.7500, 0.3273, 0.9242)  4 Ni 2.50-2.64
Ho (0.2500, 0.5197, 0.6942)  5 Ni 2.81-3.07, 6 Ga 2.99-3.12
Ga (0.2500, 0.6727, 0.0758)  4 Ni 2.50-2.64
Ni (0.2500, 0.7869, 0.4023)  4 Ga 2.50-2.64
Ga (0.2500, 0.1727, 0.4242)  4 Ni 2.50-2.64
Ni (0.7500, 0.2131, 0.5977)  4 Ga 2.50-2.64
Ho (0.7500, 0.4803, 0.3058)  5 Ni 2.81-3.07, 6 Ga 2.99-3.12
Ho (0.7500, 0.9803, 0.1942)  5 Ni 2.81-3.07, 6 Ga 2.99-3.12
Ho (0.2500, 0.0197, 0.8058)  5 Ni 2.81-3.07, 6 Ga 2.99-3.12
Ni (0.7500, 0.7131, 0.9023)  4 Ga 2.50-2.64
Ni (0.2500, 0.2869, 0.0977)  4 Ga 2.50-2.64
Ga (0.7500, 0.8273, 0.5758)  4 Ni 2.50-2.64